# 1
VASP calculation (PBE) on an optimized crystal structure of NdSmCd4.

Cell: 3.4196 5.0535 8.7648 Å, 90.00 90.00 90.00°
Atoms (fractional coordinates):
Cd: 0.4980 0.0000 0.6654
Cd: 0.4983 0.5000 0.1681
Sm: 0.0000 0.5000 0.5000
Nd: 0.0000 0.0000 0.0000
Cd: 0.5020 0.0000 0.3346
Cd: 0.5017 0.5000 0.8319

Calculated formation energy   -354 meV/atom
Crystal system   monoclinic
Magnetization   0.026 μB per formula unit



# 2
VASP calculation (PBE) on an optimized crystal structure of NdSmCd2Sn2.

Cell: 4.7982 4.7982 16.2173 Å, 90.00 90.00 120.00°
Atoms (fractional coordinates):
Sn: 0.6667 0.3333 0.3904
Sn: 0.3333 0.6667 0.6096
Sm: 0.0000 0.0000 0.2500
Nd: 0.0000 0.0000 0.5000
Cd: 0.3333 0.6667 0.1540
Sn: 0.6667 0.3333 0.1096
Cd: 0.6667 0.3333 0.6540
Cd: 0.6667 0.3333 0.8460
Cd: 0.3333 0.6667 0.3460
Sn: 0.3333 0.6667 0.8904
Sm: 0.0000 0.0000 0.7500
Nd: 0.0000 0.0000 0.0000

Energy above the most stable polymorph in this dataset   0.000 eV/atom
Crystal system   hexagonal
Magnetization   0.003 μB per formula unit



# 3
VASP calculation (PBE) on an optimized crystal structure of NdSmCd2Sn2.

Cell: 4.8059 4.8059 16.1647 Å, 90.00 90.00 120.00°
Atoms (fractional coordinates):
Nd: 0.0000 0.0000 0.2500
Sn: 0.6667 0.3333 0.3923
Cd: 0.6667 0.3333 0.8477
Nd: 0.0000 0.0000 0.7500
Sm: 0.0000 0.0000 0.5000
Cd: 0.3333 0.6667 0.3477
Sm: 0.0000 0.0000 0.0000
Cd: 0.6667 0.3333 0.6523
Cd: 0.3333 0.6667 0.1523
Sn: 0.6667 0.3333 0.1077
Sn: 0.3333 0.6667 0.8923
Sn: 0.3333 0.6667 0.6077

Energy above the most stable polymorph in this dataset   0.004 eV/atom
Crystal system   hexagonal
Magnetization   0.000 μB per formula unit



# 4
VASP calculation (PBE) on an optimized crystal structure of NdSmTl2Cd2.

Cell: 4.9527 4.9527 7.6381 Å, 90.00 90.00 120.00°
Atoms (fractional coordinates):
Tl: 0.3333 0.6667 0.4593
Nd: 0.0000 0.0000 0.7498
Sm: 0.0000 0.0000 0.2498
Cd: 0.3333 0.6667 0.0409
Cd: 0.6667 0.3333 0.5403
Tl: 0.6667 0.3333 0.9599

Total energy   -18.2 eV for the cell shown
Crystal system   trigonal
Magnetization   0.000 μB per formula unit



# 5
VASP calculation (PBE) on an optimized crystal structure of TbNdCd2Sn2.

Cell: 8.5959 8.5959 8.5959 Å, 149.96 149.96 42.99°
Atoms (fractional coordinates):
Tb: 0.3381 0.3381 0.0000
Sn: 0.1408 0.1408 0.0000
Cd: 0.4990 0.9990 0.5000
Sn: 0.8602 0.8602 0.0000
Cd: 0.9990 0.4990 0.5000
Nd: 0.6628 0.6628 0.0000

Total energy   -22.5 eV for the cell shown
Crystal system   tetragonal
Magnetization   0.004 μB per formula unit



# 6
VASP calculation (PBE) on an optimized crystal structure of SrNd2Cd3.

Cell: 3.8795 3.8795 11.8701 Å, 90.00 90.00 90.00°
Last column: magnetic moment on the atom in μB.
Atoms (fractional coordinates):
Nd: 0.0000 0.0000 0.1594  0.07
Cd: 0.5000 0.5000 0.3155  0.01
Sr: 0.0000 0.0000 0.5000  0.00
Cd: 0.5000 0.5000 0.0000  0.00
Nd: 0.0000 0.0000 0.8406  0.07
Cd: 0.5000 0.5000 0.6845  0.01

Total energy   -15.9 eV for the cell shown
Crystal system   tetragonal
Magnetization   0.360 μB per formula unit



# 7
VASP calculation (PBE) on an optimized crystal structure of SrNdCd.

Cell: 5.4380 5.4380 5.4380 Å, 60.00 60.00 60.00°
Atoms (fractional coordinates):
Sr: 0.7500 0.7500 0.7500
Nd: 0.2500 0.2500 0.2500
Cd: 0.0000 0.0000 0.0000

Energy above the most stable polymorph in this dataset   0.000 eV/atom
Crystal system   cubic
Magnetization   0.028 μB per formula unit



# 8
VASP calculation (PBE) on an optimized crystal structure of NdTlCdTe3.

Cell: 8.9122 4.5559 11.2822 Å, 90.00 106.47 90.00°
Atoms (fractional coordinates):
Tl: 0.7451 0.7500 0.7185
Cd: 0.9216 0.7500 0.3893
Nd: 0.6925 0.2500 0.1385
Te: 0.7523 0.2500 0.4452
Te: 0.0539 0.2500 0.8550
Te: 0.5532 0.2500 0.8505
Te: 0.4468 0.7500 0.1495
Tl: 0.2549 0.2500 0.2815
Nd: 0.3075 0.7500 0.8615
Cd: 0.0784 0.2500 0.6107
Te: 0.2477 0.7500 0.5548
Te: 0.9461 0.7500 0.1450

Energy above the most stable polymorph in this dataset   0.016 eV/atom
Crystal system   monoclinic
Magnetization   0.010 μB per formula unit



# 9
VASP calculation (PBE) on an optimized crystal structure of NdTlCdTe3.

Cell: 8.8550 4.7455 18.8736 Å, 90.00 90.00 90.00°
Atoms (fractional coordinates):
Te: 0.3705 0.2500 0.9378
Te: 0.8705 0.2500 0.5622
Te: 0.7677 0.7500 0.2904
Nd: 0.2705 0.7500 0.0409
Te: 0.5052 0.2500 0.4222
Cd: 0.5746 0.2500 0.6593
Te: 0.6295 0.7500 0.0622
Cd: 0.4254 0.7500 0.3407
Te: 0.9948 0.7500 0.9222
Nd: 0.2295 0.2500 0.5409
Nd: 0.7295 0.2500 0.9591
Tl: 0.5570 0.2500 0.1977
Tl: 0.0570 0.2500 0.3023
Te: 0.7323 0.2500 0.7904
Te: 0.2323 0.2500 0.7096
Te: 0.1295 0.7500 0.4378
Te: 0.4948 0.7500 0.5778
Te: 0.0052 0.2500 0.0778
Cd: 0.0746 0.2500 0.8407
Te: 0.2677 0.7500 0.2096
Nd: 0.7705 0.7500 0.4591
Cd: 0.9254 0.7500 0.1593
Tl: 0.4430 0.7500 0.8023
Tl: 0.9430 0.7500 0.6977

Energy above the most stable polymorph in this dataset   0.064 eV/atom
Crystal system   orthorhombic
Magnetization   0.000 μB per formula unit



# 10
VASP calculation (PBE) on an optimized crystal structure of NdTlCdTe3.

Cell: 12.8358 4.6926 13.5185 Å, 90.00 90.00 90.00°
Atoms (fractional coordinates):
Nd: 0.5249 0.0000 0.8174
Nd: 0.0249 0.0000 0.6826
Tl: 0.3214 0.5000 0.4900
Cd: 0.2542 0.0000 0.2968
Cd: 0.7458 0.5000 0.7032
Te: 0.5920 0.0000 0.0614
Te: 0.4678 0.0000 0.3486
Cd: 0.2458 0.5000 0.7968
Te: 0.0322 0.5000 0.8486
Cd: 0.7542 0.0000 0.2032
Te: 0.7778 0.0000 0.8218
Te: 0.7222 0.5000 0.3218
Te: 0.0920 0.0000 0.4386
Nd: 0.9751 0.5000 0.3174
Te: 0.2222 0.5000 0.1782
Te: 0.5322 0.5000 0.6514
Te: 0.4080 0.5000 0.9386
Nd: 0.4751 0.5000 0.1826
Te: 0.9080 0.5000 0.5614
Tl: 0.6786 0.0000 0.5100
Te: 0.2778 0.0000 0.6782
Te: 0.9678 0.0000 0.1514
Tl: 0.1786 0.0000 0.9900
Tl: 0.8214 0.5000 0.0100

Energy above the most stable polymorph in this dataset   0.037 eV/atom
Crystal system   orthorhombic
Magnetization   0.002 μB per formula unit



# 11
VASP calculation (PBE) on an optimized crystal structure of NdTlCdTe3.

Cell: 10.0129 10.0129 9.8297 Å, 103.93 103.93 26.18°
Atoms (fractional coordinates):
Te: 0.5000 0.5000 0.5000
Tl: 0.1347 0.1347 0.5748
Te: 0.0000 0.0000 0.0000
Nd: 0.8238 0.8238 0.9051
Cd: 0.5210 0.5210 0.2173
Cd: 0.4790 0.4790 0.7827
Tl: 0.8653 0.8653 0.4252
Te: 0.3261 0.3261 0.6827
Te: 0.6739 0.6739 0.3173
Nd: 0.1762 0.1762 0.0949
Te: 0.3401 0.3401 0.1375
Te: 0.6599 0.6599 0.8625

Energy above the most stable polymorph in this dataset   0.082 eV/atom
Crystal system   monoclinic
Magnetization   0.006 μB per formula unit



# 12
VASP calculation (PBE) on an optimized crystal structure of NdTlCdTe3.

Cell: 8.1246 8.1246 11.9498 Å, 90.00 90.00 32.30°
Atoms (fractional coordinates):
Te: 0.6395 0.6395 0.5559
Cd: 0.5352 0.5352 0.7500
Tl: 0.2411 0.2411 0.7500
Te: 0.3605 0.3605 0.4441
Te: 0.6395 0.6395 0.9441
Nd: 0.0000 0.0000 0.0000
Te: 0.0806 0.0806 0.2500
Te: 0.3605 0.3605 0.0559
Cd: 0.4648 0.4648 0.2500
Nd: 0.0000 0.0000 0.5000
Tl: 0.7589 0.7589 0.2500
Te: 0.9194 0.9194 0.7500

Energy above the most stable polymorph in this dataset   0.001 eV/atom
Crystal system   orthorhombic
Magnetization   0.001 μB per formula unit



These records have V values of 151.5 323.3 323.3 162.3 158.7 178.7 113.7 439.3 793.1 814.3 421.3 421.5 Å³/cell, in the order they appear.